{
  "formula": "Sr2TePRh",
  "functional": "PBE-GGA",
  "state": "relaxed",
  "lattice": [[-3.465, -4.763, -0.329], [4.012, -3.125, 2.990], [-1.907, 1.129, 3.738]],
  "species": ["Rh", "P", "Te", "Sr", "Sr"],
  "frac_coords": [[0.000, 0.000, 0.500], [0.000, 0.000, 0.000], [0.500, 0.500, 0.500], [0.000, 0.500, 0.000], [0.500, 0.000, 0.000]],
  "e_form_raw_ev_per_atom": -0.92,
  "dos_ef_per_ev_atom": 0.55
}



{
  "formula": "Na2SrReS",
  "functional": "PBE-GGA",
  "state": "relaxed",
  "lattice": [[5.439, 0.000, 0.000], [0.000, 5.753, 0.000], [0.000, 0.000, 5.439]],
  "species": ["Sr", "S", "Re", "Na", "Na"],
  "frac_coords": [[0.000, 0.500, 0.000], [0.500, 0.500, 0.500], [0.000, 0.000, 0.000], [0.000, 0.000, 0.500], [0.500, 0.000, 0.000]],
  "e_form_raw_ev_per_atom": 1.04,
  "dos_ef_per_ev_atom": 0.76
}



{
  "formula": "Li2NdTeS4",
  "functional": "PBE-GGA",
  "state": "relaxed",
  "lattice": [[-5.730, -2.768, -4.498], [1.274, -7.339, 2.290], [-1.703, 5.547, 5.492]],
  "species": ["Nd", "Nd", "S", "S", "S", "S", "S", "S", "S", "S", "Te", "Te", "Li", "Li", "Li", "Li"],
  "frac_coords": [[0.000, 0.500, 0.000], [0.000, 0.500, 0.500], [0.245, 0.744, 0.486], [0.755, 0.256, 0.514], [0.244, 0.745, 0.986], [0.699, 0.720, 0.453], [0.301, 0.280, 0.547], [0.756, 0.255, 0.014], [0.780, 0.801, 0.047], [0.220, 0.199, 0.953], [0.000, 0.000, 0.000], [0.500, 0.500, 0.500], [0.000, 0.000, 0.500], [0.500, 0.500, 0.000], [0.500, 0.000, 0.000], [0.500, 0.000, 0.500]],
  "e_form_raw_ev_per_atom": -1.04,
  "dos_ef_per_ev_atom": 0.17
}



{
  "formula": "SmZnInRu",
  "functional": "PBE-GGA",
  "state": "relaxed",
  "lattice": [[4.827, 0.000, 0.000], [2.414, 4.181, 0.000], [2.414, 1.394, 3.941]],
  "species": ["In", "Sm", "Zn", "Ru"],
  "frac_coords": [[0.000, 0.000, 0.000], [0.500, 0.500, 0.500], [0.250, 0.250, 0.250], [0.750, 0.750, 0.750]],
  "delta_e_f_ev_per_atom": -0.107,
  "dos_ef_per_ev_atom": 1.07
}



{
  "formula": "CuI3Cl",
  "functional": "PBE-GGA",
  "state": "relaxed",
  "lattice": [[5.730, 0.000, 0.000], [0.000, 5.730, 0.000], [0.000, 0.000, 5.730]],
  "species": ["I", "I", "I", "Cl", "Cu"],
  "frac_coords": [[0.500, 0.000, 0.000], [0.000, 0.500, 0.000], [0.000, 0.000, 0.500], [0.000, 0.000, 0.000], [0.500, 0.500, 0.500]],
  "e_form_raw_ev_per_atom": 0.74,
  "dos_ef_per_ev_atom": 0.36
}



{
  "formula": "K2AgPb",
  "functional": "PBE-GGA",
  "state": "relaxed",
  "lattice": [[6.625, -0.042, -0.010], [2.365, 6.189, 0.010], [-3.911, -3.927, 3.629]],
  "species": ["K", "K", "Pb", "Ag"],
  "frac_coords": [[0.027, 0.027, 0.000], [0.729, 0.229, 0.500], [0.447, 0.447, 0.000], [0.297, 0.797, 0.500]],
  "delta_e_f_ev_per_atom": -0.044,
  "dos_ef_per_ev_atom": 0.54
}



{
  "formula": "CsSiPt3",
  "functional": "PBE-GGA",
  "state": "relaxed",
  "lattice": [[-4.188, -2.761, -1.340], [1.693, -0.188, -4.905], [2.559, -4.393, 1.052]],
  "species": ["Pt", "Pt", "Pt", "Si", "Cs"],
  "frac_coords": [[0.000, 0.500, 0.000], [0.500, 0.000, 0.000], [0.000, 0.000, 0.500], [0.500, 0.500, 0.500], [0.000, 0.000, 0.000]],
  "e_form_raw_ev_per_atom": 2.26,
  "dos_ef_per_ev_atom": 0.83
}



{
  "formula": "Nd6As2Se3N",
  "functional": "PBE-GGA",
  "state": "relaxed",
  "lattice": [[-2.005, -3.350, 1.304], [0.290, -3.200, -7.779], [8.660, -1.350, 3.352]],
  "species": ["N", "Nd", "Nd", "Nd", "Nd", "Nd", "Nd", "Se", "Se", "Se", "As", "As"],
  "frac_coords": [[0.500, 0.000, 0.000], [0.000, 0.212, 0.000], [0.000, 0.788, 0.000], [0.667, 0.580, 0.333], [0.333, 0.420, 0.667], [0.644, 0.076, 0.288], [0.356, 0.924, 0.712], [0.500, 0.500, 0.000], [0.829, 0.161, 0.659], [0.171, 0.839, 0.341], [0.165, 0.332, 0.331], [0.835, 0.668, 0.669]],
  "e_form_raw_ev_per_atom": -1.65,
  "dos_ef_per_ev_atom": 0.33
}



Copy entry 5 word for word.
{
  "formula": "CuI3Cl",
  "functional": "PBE-GGA",
  "state": "relaxed",
  "lattice": [[5.730, 0.000, 0.000], [0.000, 5.730, 0.000], [0.000, 0.000, 5.730]],
  "species": ["I", "I", "I", "Cl", "Cu"],
  "frac_coords": [[0.500, 0.000, 0.000], [0.000, 0.500, 0.000], [0.000, 0.000, 0.500], [0.000, 0.000, 0.000], [0.500, 0.500, 0.500]],
  "e_form_raw_ev_per_atom": 0.74,
  "dos_ef_per_ev_atom": 0.36
}